DFT (GGA-PBE) results for a relaxed structure of TiAl2GaSn.

E_tot = -18.4 eV/f.u.
Total magnetic moment = 0.00 Bohr magnetons per cell
ΔE_f = 0.80 eV per atom
Fermi-level density of states = 1.5293 states/eV/atom

Cell and atoms, written as extended XYZ:
```
5
Lattice="-1.873 -3.497 2.391 1.542 -3.520 -3.940 4.033 -0.671 2.177" Properties=species:S:1:pos:R:3 pbc="T T T"
Sn 0.771 -1.760 -1.970
Al 2.016 -0.335 1.089
Al -0.936 -1.748 1.196
Ti 1.851 -3.844 0.314
Ga 0.000 0.000 0.000
```